Here is an optimized crystal structure of ZnGaAg from OQMD. Energies are from GGA-PBE.

POSCAR file:
```
ZnGaAg
1.0
6.142 0.000 0.000
0.000 6.142 0.000
0.000 0.000 6.142
Zn Ga Ag
4 4 4
Direct
0.000 0.000 0.000
0.000 0.500 0.500
0.500 0.000 0.500
0.500 0.500 0.000
0.000 0.000 0.500
0.000 0.500 0.000
0.500 0.000 0.000
0.500 0.500 0.500
0.250 0.250 0.750
0.250 0.750 0.250
0.750 0.250 0.250
0.750 0.750 0.750
```

Calculated values
The uncorrected energy comes out at -2.3030 eV/atom.

***

Here is an optimized crystal structure of ZnGaAg from OQMD. Energies are from GGA-PBE.

POSCAR file:
```
ZnGaAg
1.0
6.117 0.000 0.000
0.000 6.117 0.000
0.000 0.000 6.117
Zn Ga Ag
4 4 4
Direct
0.000 0.000 0.000
0.000 0.500 0.500
0.500 0.000 0.500
0.500 0.500 0.000
0.250 0.250 0.750
0.250 0.750 0.250
0.750 0.250 0.250
0.750 0.750 0.750
0.000 0.000 0.500
0.000 0.500 0.000
0.500 0.000 0.000
0.500 0.500 0.500
```

Calculated values
The uncorrected energy comes out at -2.2888 eV/atom.

***

Here is an optimized crystal structure of ZnGaAg3 from OQMD. Energies are from GGA-PBE.

POSCAR file:
```
ZnGaAg3
1.0
6.482 0.000 0.000
-3.241 5.613 0.000
0.000 0.000 5.139
Zn Ga Ag
2 2 6
Direct
0.000 0.000 0.000
0.000 0.000 0.500
0.667 0.333 0.000
0.667 0.333 0.500
0.082 0.411 0.250
0.082 0.671 0.750
0.329 0.411 0.750
0.329 0.918 0.250
0.589 0.671 0.250
0.589 0.918 0.750
```

Calculated values
The uncorrected energy comes out at -2.4767 eV/atom.

***

Here is an optimized crystal structure of Zr2GaAg2 from OQMD. Energies are from GGA-PBE.

POSCAR file:
```
Zr2GaAg2
1.0
3.780 0.000 0.000
0.000 3.780 0.000
0.000 0.000 14.706
Zr Ga Ag
4 2 4
Direct
0.000 0.000 0.092
0.000 0.000 0.908
0.500 0.500 0.408
0.500 0.500 0.592
0.000 0.000 0.500
0.500 0.500 0.000
0.000 0.500 0.250
0.000 0.500 0.750
0.500 0.000 0.250
0.500 0.000 0.750
```

Calculated values
The uncorrected energy comes out at -4.9465 eV/atom.

***

Here is an optimized crystal structure of Zr2Ga2Ag from OQMD. Energies are from GGA-PBE.

POSCAR file:
```
Zr2Ga2Ag
1.0
3.767 0.000 0.000
0.000 3.767 0.000
0.000 0.000 14.363
Zr Ga Ag
4 4 2
Direct
0.000 0.000 0.099
0.000 0.000 0.901
0.500 0.500 0.401
0.500 0.500 0.599
0.000 0.500 0.250
0.000 0.500 0.750
0.500 0.000 0.250
0.500 0.000 0.750
0.000 0.000 0.500
0.500 0.500 0.000
```

Calculated values
The uncorrected energy comes out at -5.1382 eV/atom.

***

Here is an optimized crystal structure of ZrGaAg2 from OQMD. Energies are from GGA-PBE.

POSCAR file:
```
ZrGaAg2
1.0
6.646 0.000 0.000
0.000 6.646 0.000
0.000 0.000 6.646
Zr Ga Ag
4 4 8
Direct
0.000 0.000 0.000
0.000 0.500 0.500
0.500 0.000 0.500
0.500 0.500 0.000
0.250 0.250 0.750
0.250 0.750 0.250
0.750 0.250 0.250
0.750 0.750 0.750
0.000 0.000 0.500
0.000 0.500 0.000
0.250 0.250 0.250
0.250 0.750 0.750
0.500 0.000 0.000
0.500 0.500 0.500
0.750 0.250 0.750
0.750 0.750 0.250
```

Calculated values
The uncorrected energy comes out at -4.4756 eV/atom.

***

Here is an optimized crystal structure of Zr2GaAg2 from OQMD. Energies are from GGA-PBE.

POSCAR file:
```
Zr2GaAg2
1.0
4.186 0.000 0.000
0.000 4.186 0.000
0.000 0.000 12.958
Zr Ga Ag
4 2 4
Direct
0.000 0.500 0.250
0.000 0.500 0.750
0.500 0.000 0.250
0.500 0.000 0.750
0.000 0.000 0.000
0.500 0.500 0.500
0.000 0.000 0.401
0.000 0.000 0.599
0.500 0.500 0.099
0.500 0.500 0.901
```

Calculated values
The uncorrected energy comes out at -4.7811 eV/atom.

***

Here is an optimized crystal structure of GdAgGe from OQMD. Energies are from GGA-PBE.

POSCAR file:
```
GdAgGe
1.0
7.220 0.000 0.000
-3.610 6.253 0.000
0.000 0.000 4.254
Gd Ag Ge
3 3 3
Direct
0.000 0.584 0.000
0.416 0.416 0.000
0.584 0.000 0.000
0.000 0.250 0.500
0.250 0.000 0.500
0.750 0.750 0.500
0.000 0.000 0.000
0.333 0.667 0.500
0.667 0.333 0.500
```

Calculated values
The uncorrected energy comes out at -4.6984 eV/atom.

***

What did the seventh record say?
Here is an optimized crystal structure of Zr2GaAg2 from OQMD. Energies are from GGA-PBE.

POSCAR file:
```
Zr2GaAg2
1.0
4.186 0.000 0.000
0.000 4.186 0.000
0.000 0.000 12.958
Zr Ga Ag
4 2 4
Direct
0.000 0.500 0.250
0.000 0.500 0.750
0.500 0.000 0.250
0.500 0.000 0.750
0.000 0.000 0.000
0.500 0.500 0.500
0.000 0.000 0.401
0.000 0.000 0.599
0.500 0.500 0.099
0.500 0.500 0.901
```

Calculated values
The uncorrected energy comes out at -4.7811 eV/atom.

***

Copy entry 2 word for word.
Here is an optimized crystal structure of ZnGaAg from OQMD. Energies are from GGA-PBE.

POSCAR file:
```
ZnGaAg
1.0
6.117 0.000 0.000
0.000 6.117 0.000
0.000 0.000 6.117
Zn Ga Ag
4 4 4
Direct
0.000 0.000 0.000
0.000 0.500 0.500
0.500 0.000 0.500
0.500 0.500 0.000
0.250 0.250 0.750
0.250 0.750 0.250
0.750 0.250 0.250
0.750 0.750 0.750
0.000 0.000 0.500
0.000 0.500 0.000
0.500 0.000 0.000
0.500 0.500 0.500
```

Calculated values
The uncorrected energy comes out at -2.2888 eV/atom.

***

Q: Among the records above, which one has the lowest uncorrected energy?
A: Zr2Ga2Ag

***

Q: Which of these has the lowest uncorrected energy?
A: Zr2Ga2Ag